1.
A relaxed CaBePb3 crystal, computed with GGA-PBEsol.

## Properties
- Formation energy: 1.181 eV per atom
- D(E_F): 5.25 states/eV per cell
- Total magnetization: 0.0 μB/f.u.
- Final energy: -2.4445 eV/atom

Cell lengths 5.747, 5.747, 5.747 Å; angles 90.00, 90.00, 90.00 degrees
Space group Pm-3m (No. 221)
Inequivalent atoms, fractional coordinates:
Ca1 0.000 0.000 0.000 (multiplicity 1)
Be1 0.500 0.500 0.500 (multiplicity 1)
Pb1 0.000 0.000 0.500 (multiplicity 3)

2.
A relaxed CsTcPb3 crystal, computed with GGA-PBEsol.

## Properties
- Formation energy: 0.286 eV per atom
- D(E_F): 5.61 states/eV per cell
- Total magnetization: 0.0 μB/f.u.
- Final energy: -4.5547 eV/atom

Cell lengths 5.355, 5.355, 5.355 Å; angles 90.00, 90.00, 90.00 degrees
Space group Pm-3m (No. 221)
Inequivalent atoms, fractional coordinates:
Cs1 0.000 0.000 0.000 (multiplicity 1)
Tc1 0.500 0.500 0.500 (multiplicity 1)
Pb1 0.000 0.500 0.500 (multiplicity 3)

3.
A relaxed PrGeBO5 crystal, computed with GGA-PBEsol.

## Properties
- D(E_F): 0.00 states/eV per cell
- Total magnetization: 0.0 μB/f.u.
- Uncorrected formation energy: -20.55 eV/f.u.
- Final energy: -7.9922 eV/atom

Cell lengths 6.9575, 6.9575, 6.7746 Å; angles 90.00, 90.00, 120.00 degrees
Space group P3_1 (No. 144)
Inequivalent atoms, fractional coordinates:
Pr1 0.0031 0.5859 0.0000 (multiplicity 3)
Ge1 0.4254 0.4170 0.8329 (multiplicity 3)
B1 0.0179 0.1183 0.0334 (multiplicity 3)
O1 0.0237 0.9550 0.9036 (multiplicity 3)
O2 0.1383 0.5254 0.3214 (multiplicity 3)
O3 0.1568 0.8032 0.6592 (multiplicity 3)
O4 0.3266 0.1839 0.6708 (multiplicity 3)
O5 0.5469 0.1604 0.3496 (multiplicity 3)

4.
A relaxed Li2Si2Pt crystal, computed with GGA-PBEsol.

## Properties
- D(E_F): 3.73 states/eV per cell
- Total magnetization: 0.0 μB/f.u.
- Uncorrected formation energy: -2.74 eV/f.u.
- Final energy: -5.0264 eV/atom

Cell lengths 6.131, 6.131, 4.005 Å; angles 90.00, 90.00, 90.00 degrees
Space group P4/mbm (No. 127)
Inequivalent atoms, fractional coordinates:
Li1 0.173 0.327 0.000 (multiplicity 4)
Si1 0.134 0.634 0.500 (multiplicity 4)
Pt1 0.000 0.000 0.500 (multiplicity 2)

5.
A relaxed Ca3UN4 crystal, computed with GGA-PBEsol.

## Properties
- Total magnetization: 0.0 μB/f.u.
- Uncorrected formation energy: -11.25 eV/f.u.
- Final energy: -7.9897 eV/atom

Cell lengths 4.830, 4.830, 9.917 Å; angles 90.00, 90.00, 90.00 degrees
Space group I4/mmm (No. 139)
Inequivalent atoms, fractional coordinates:
Ca1 0.000 0.000 0.000 (multiplicity 2)
Ca2 0.000 0.500 0.250 (multiplicity 4)
U1 0.000 0.000 0.500 (multiplicity 2)
N1 0.000 0.000 0.297 (multiplicity 4)
N2 0.000 0.500 0.000 (multiplicity 4)

6.
A relaxed KZnCo crystal, computed with GGA-PBEsol.

## Properties
- Formation energy: 1.663 eV per atom
- D(E_F): 38.18 states/eV per cell
- Total magnetization: 2.0 μB/f.u.
- Final energy: -1.8210 eV/atom

Cell lengths 7.088, 7.088, 7.088 Å; angles 90.00, 90.00, 90.00 degrees
Space group F-43m (No. 216)
Inequivalent atoms, fractional coordinates:
K1 0.000 0.000 0.000 (multiplicity 4)
Zn1 0.250 0.250 0.750 (multiplicity 4)
Co1 0.250 0.250 0.250 (multiplicity 4)

Question: Which of these has the lowest final energy?
Answer: PrGeBO5